Record 1
# Pa2PSe2O | the Alexandria database | PBE-GGA | relaxed
# DFT total energy   -7.82 eV/atom
# E_form (uncorrected)   -1020 kJ/mol of formula units
# Theoretical density   8.7 g/cm3
# Density of states at the Fermi level   1.15 states/eV/atom
data_Pa2PSe2O
_cell_length_a 6.682
_cell_length_b 13.896
_cell_length_c 5.480
_cell_angle_alpha 90.00
_cell_angle_beta 90.00
_cell_angle_gamma 90.00
_symmetry_space_group_name_H-M 'I b a m'
_symmetry_Int_Tables_number 72
_symmetry_space_group_name_Hall '-I 2 2c'
loop_
_atom_site_label
_atom_site_type_symbol
_atom_site_fract_x
_atom_site_fract_y
_atom_site_fract_z
Pa1 Pa 0.197 0.103 0.000
P1 P 0.000 0.500 0.250
Se1 Se 0.203 0.186 0.500
O1 O 0.000 0.000 0.250

Record 2
# SmPaPO2 | the Alexandria database | PBE-GGA | relaxed
# DFT total energy   -8.54 eV/atom
# E_form (uncorrected)   -1269 kJ/mol of formula units
# Theoretical density   8.5 g/cm3
# Density of states at the Fermi level   0.50 states/eV/atom
data_SmPaPO2
_cell_length_a 3.780
_cell_length_b 3.780
_cell_length_c 12.185
_cell_angle_alpha 90.00
_cell_angle_beta 90.00
_cell_angle_gamma 90.00
_symmetry_space_group_name_H-M 'I 4 m m'
_symmetry_Int_Tables_number 107
_symmetry_space_group_name_Hall 'I 4 -2'
loop_
_atom_site_label
_atom_site_type_symbol
_atom_site_fract_x
_atom_site_fract_y
_atom_site_fract_z
Sm1 Sm 0.000 0.000 0.000
Pa1 Pa 0.000 0.000 0.718
P1 P 0.000 0.000 0.356
O1 O 0.000 0.500 0.117

Record 3
# PaSnP2O8 | the Alexandria database | PBE-GGA | relaxed
# DFT total energy   -7.69 eV/atom
# E_form (uncorrected)   -2727 kJ/mol of formula units
# Theoretical density   4.7 g/cm3
# Density of states at the Fermi level   0.00 states/eV/atom
data_PaSnP2O8
_cell_length_a 5.4581
_cell_length_b 5.4581
_cell_length_c 7.3307
_cell_angle_alpha 90.00
_cell_angle_beta 90.00
_cell_angle_gamma 120.00
_symmetry_space_group_name_H-M 'P -3 m 1'
_symmetry_Int_Tables_number 164
_symmetry_space_group_name_Hall '-P 3 2"'
loop_
_atom_site_label
_atom_site_type_symbol
_atom_site_fract_x
_atom_site_fract_y
_atom_site_fract_z
Pa1 Pa 0.0000 0.0000 0.0000
Sn1 Sn 0.0000 0.0000 0.5000
P1 P 0.3333 0.6667 0.7160
O1 O 0.1797 0.3594 0.7971
O2 O 0.3333 0.6667 0.5102

Record 4
# SrPaP2O8 | the Alexandria database | PBE-GGA | relaxed
# DFT total energy   -7.93 eV/atom
# E_form (uncorrected)   -3226 kJ/mol of formula units
# Theoretical density   4.4 g/cm3
data_SrPaP2O8
_cell_length_a 5.4281
_cell_length_b 5.4281
_cell_length_c 7.4492
_cell_angle_alpha 90.00
_cell_angle_beta 90.00
_cell_angle_gamma 120.00
_symmetry_space_group_name_H-M 'P -3 m 1'
_symmetry_Int_Tables_number 164
_symmetry_space_group_name_Hall '-P 3 2"'
loop_
_atom_site_label
_atom_site_type_symbol
_atom_site_fract_x
_atom_site_fract_y
_atom_site_fract_z
Sr1 Sr 0.0000 0.0000 0.0000
Pa1 Pa 0.0000 0.0000 0.5000
P1 P 0.3333 0.6667 0.2188
O1 O 0.1785 0.3571 0.2968
O2 O 0.3333 0.6667 0.0162

Record 5
# PaTcPO | the Alexandria database | PBE-GGA | relaxed
# DFT total energy   -9.42 eV/atom
# E_form (uncorrected)   -721 kJ/mol of formula units
# Theoretical density   10.1 g/cm3
# Density of states at the Fermi level   1.41 states/eV/atom
data_PaTcPO
_cell_length_a 3.998
_cell_length_b 3.998
_cell_length_c 7.724
_cell_angle_alpha 90.00
_cell_angle_beta 90.00
_cell_angle_gamma 90.00
_symmetry_space_group_name_H-M 'P 4/n m m'
_symmetry_Int_Tables_number 129
loop_
_symmetry_equiv_pos_as_xyz
'x,y,z'
'-x,-y,-z'
'-y+1/2,x,z'
'y+1/2,-x,-z'
'-x+1/2,-y+1/2,z'
'x+1/2,y+1/2,-z'
'y,-x+1/2,z'
'-y,x+1/2,-z'
'x+1/2,-y,-z'
'-x+1/2,y,z'
'-y,-x,-z'
'y,x,z'
'-x,y+1/2,-z'
'x,-y+1/2,z'
'y+1/2,x+1/2,-z'
'-y+1/2,-x+1/2,z'
loop_
_atom_site_label
_atom_site_type_symbol
_atom_site_fract_x
_atom_site_fract_y
_atom_site_fract_z
Pa1 Pa 0.250 0.250 0.166
Tc1 Tc 0.250 0.750 0.500
P1 P 0.250 0.250 0.664
O1 O 0.250 0.750 0.000

Record 6
# PaTlPO6 | the Alexandria database | PBE-GGA | relaxed
# DFT total energy   -7.29 eV/atom
# E_form (uncorrected)   -1796 kJ/mol of formula units
# Theoretical density   7.2 g/cm3
# Density of states at the Fermi level   0.48 states/eV/atom
data_PaTlPO6
_cell_length_a 5.3933
_cell_length_b 5.3933
_cell_length_c 5.1816
_cell_angle_alpha 90.00
_cell_angle_beta 90.00
_cell_angle_gamma 120.00
_symmetry_space_group_name_H-M 'P 3 1 2'
_symmetry_Int_Tables_number 149
loop_
_symmetry_equiv_pos_as_xyz
'x,y,z'
'-y,x-y,z'
'-x+y,-x,z'
'-y,-x,-z'
'-x+y,y,-z'
'x,x-y,-z'
loop_
_atom_site_label
_atom_site_type_symbol
_atom_site_fract_x
_atom_site_fract_y
_atom_site_fract_z
Pa1 Pa 0.0000 0.0000 0.0000
Tl1 Tl 0.6667 0.3333 0.5000
P1 P 0.3333 0.6667 0.0000
O1 O 0.0763 0.3940 0.1906

Record 7
# PaTl2PO8 | the Alexandria database | PBE-GGA | relaxed
# DFT total energy   -6.38 eV/atom
# E_form (uncorrected)   -1663 kJ/mol of formula units
# Theoretical density   9.0 g/cm3
data_PaTl2PO8
_cell_length_a 5.3977
_cell_length_b 5.3977
_cell_length_c 5.8632
_cell_angle_alpha 90.00
_cell_angle_beta 90.00
_cell_angle_gamma 120.00
_symmetry_space_group_name_H-M 'P -3 m 1'
_symmetry_Int_Tables_number 164
_symmetry_space_group_name_Hall '-P 3 2"'
loop_
_atom_site_label
_atom_site_type_symbol
_atom_site_fract_x
_atom_site_fract_y
_atom_site_fract_z
Pa1 Pa 0.0000 0.0000 0.0000
Tl1 Tl 0.3333 0.6667 0.3981
P1 P 0.0000 0.0000 0.5000
O1 O 0.1468 0.2936 0.6754
O2 O 0.3333 0.6667 0.0536

Record 8
# Pa2TlPO8 | the Alexandria database | PBE-GGA | relaxed
# DFT total energy   -8.13 eV/atom
# E_form (uncorrected)   -3008 kJ/mol of formula units
# Theoretical density   7.5 g/cm3
# Density of states at the Fermi level   0.00 states/eV/atom
data_Pa2TlPO8
_cell_length_a 5.0219
_cell_length_b 5.0219
_cell_length_c 8.3996
_cell_angle_alpha 90.00
_cell_angle_beta 90.00
_cell_angle_gamma 120.00
_symmetry_space_group_name_H-M 'P -3 m 1'
_symmetry_Int_Tables_number 164
_symmetry_space_group_name_Hall '-P 3 2"'
loop_
_atom_site_label
_atom_site_type_symbol
_atom_site_fract_x
_atom_site_fract_y
_atom_site_fract_z
Pa1 Pa 0.3333 0.6667 0.3646
Tl1 Tl 0.0000 0.0000 0.0000
P1 P 0.0000 0.0000 0.5000
O1 O 0.1618 0.3235 0.6145
O2 O 0.3333 0.6667 0.1395

Record 9
# UPaP2O | the Alexandria database | PBE-GGA | relaxed
# DFT total energy   -8.92 eV/atom
# E_form (uncorrected)   -776 kJ/mol of formula units
# Theoretical density   9.4 g/cm3
# Density of states at the Fermi level   1.63 states/eV/atom
data_UPaP2O
_cell_length_a 3.868
_cell_length_b 3.868
_cell_length_c 12.884
_cell_angle_alpha 90.00
_cell_angle_beta 90.00
_cell_angle_gamma 90.00
_symmetry_space_group_name_H-M 'P 4/n m m'
_symmetry_Int_Tables_number 129
loop_
_symmetry_equiv_pos_as_xyz
'x,y,z'
'-x,-y,-z'
'-y+1/2,x,z'
'y+1/2,-x,-z'
'-x+1/2,-y+1/2,z'
'x+1/2,y+1/2,-z'
'y,-x+1/2,z'
'-y,x+1/2,-z'
'x+1/2,-y,-z'
'-x+1/2,y,z'
'-y,-x,-z'
'y,x,z'
'-x,y+1/2,-z'
'x,-y+1/2,z'
'y+1/2,x+1/2,-z'
'-y+1/2,-x+1/2,z'
loop_
_atom_site_label
_atom_site_type_symbol
_atom_site_fract_x
_atom_site_fract_y
_atom_site_fract_z
U1 U 0.250 0.250 0.103
Pa1 Pa 0.250 0.250 0.607
P1 P 0.250 0.250 0.380
P2 P 0.250 0.250 0.814
O1 O 0.250 0.750 0.000

Record 10
# Pa3ZnP2O6 | the Alexandria database | PBE-GGA | relaxed
# DFT total energy   -8.23 eV/atom
# E_form (uncorrected)   -2745 kJ/mol of formula units
# Theoretical density   5.9 g/cm3
# Density of states at the Fermi level   0.47 states/eV/atom
data_Pa3ZnP2O6
_cell_length_a 11.926
_cell_length_b 7.815
_cell_length_c 5.924
_cell_angle_alpha 90.00
_cell_angle_beta 110.37
_cell_angle_gamma 90.00
_symmetry_space_group_name_H-M 'C 1 2/m 1'
_symmetry_Int_Tables_number 12
loop_
_symmetry_equiv_pos_as_xyz
'x,y,z'
'-x,-y,-z'
'-x,y,-z'
'x,-y,z'
'x+1/2,y+1/2,z'
'-x+1/2,-y+1/2,-z'
'-x+1/2,y+1/2,-z'
'x+1/2,-y+1/2,z'
loop_
_atom_site_label
_atom_site_type_symbol
_atom_site_fract_x
_atom_site_fract_y
_atom_site_fract_z
Pa1 Pa 0.000 0.000 0.000
Pa2 Pa 0.250 0.250 0.500
Zn1 Zn 0.000 0.500 0.500
P1 P 0.097 0.000 0.616
O1 O 0.131 0.199 0.158
O2 O 0.153 0.500 0.508

Record 11
# PaZnP2O8 | the Alexandria database | PBE-GGA | relaxed
# DFT total energy   -7.48 eV/atom
# E_form (uncorrected)   -2745 kJ/mol of formula units
# Theoretical density   5.2 g/cm3
# Density of states at the Fermi level   0.59 states/eV/atom
data_PaZnP2O8
_cell_length_a 5.1427
_cell_length_b 5.1427
_cell_length_c 6.7557
_cell_angle_alpha 90.00
_cell_angle_beta 90.00
_cell_angle_gamma 120.00
_symmetry_space_group_name_H-M 'P -3 m 1'
_symmetry_Int_Tables_number 164
_symmetry_space_group_name_Hall '-P 3 2"'
loop_
_atom_site_label
_atom_site_type_symbol
_atom_site_fract_x
_atom_site_fract_y
_atom_site_fract_z
Pa1 Pa 0.0000 0.0000 0.0000
Zn1 Zn 0.0000 0.0000 0.5000
P1 P 0.3333 0.6667 0.2135
O1 O 0.1679 0.3357 0.2827
O2 O 0.3333 0.6667 0.9846

Record 12
# P2Pb3O8 | the Alexandria database | PBE-GGA | relaxed
# DFT total energy   -6.64 eV/atom
# E_form (uncorrected)   -2380 kJ/mol of formula units
# Theoretical density   6.4 g/cm3
# Density of states at the Fermi level   0.00 states/eV/atom
# Excess energy over the best structure of this formula in the dataset   0.009 eV per atom
data_P2Pb3O8
_cell_length_a 10.0065
_cell_length_b 10.0065
_cell_length_c 14.6370
_cell_angle_alpha 90.00
_cell_angle_beta 90.00
_cell_angle_gamma 120.00
_symmetry_space_group_name_H-M 'P -3'
_symmetry_Int_Tables_number 147
loop_
_symmetry_equiv_pos_as_xyz
'x,y,z'
'-x,-y,-z'
'-y,x-y,z'
'y,-x+y,-z'
'-x+y,-x,z'
'x-y,x,-z'
loop_
_atom_site_label
_atom_site_type_symbol
_atom_site_fract_x
_atom_site_fract_y
_atom_site_fract_z
P1 P 0.0184 0.6257 0.3747
P2 P 0.0225 0.6280 0.8758
Pb1 Pb 0.0050 0.2657 0.3701
Pb2 Pb 0.0074 0.7427 0.1273
Pb3 Pb 0.3333 0.6667 0.0194
Pb4 Pb 0.3333 0.6667 0.4837
Pb5 Pb 0.3333 0.6667 0.7450
O1 O 0.0637 0.7410 0.2936
O2 O 0.0841 0.7275 0.4622
O3 O 0.0836 0.7369 0.7906
O4 O 0.0910 0.7335 0.9614
O5 O 0.0932 0.5187 0.8709
O6 O 0.0986 0.5259 0.3677
O7 O 0.1554 0.4654 0.1226
O8 O 0.1602 0.4817 0.6218

Record 13
# P2Pb3O8 | the Alexandria database | PBE-GGA | relaxed
# DFT total energy   -6.65 eV/atom
# E_form (uncorrected)   -2391 kJ/mol of formula units
# Theoretical density   6.5 g/cm3
# Density of states at the Fermi level   0.00 states/eV/atom
# Excess energy over the best structure of this formula in the dataset   0.000 eV per atom
data_P2Pb3O8
_cell_length_a 11.231
_cell_length_b 8.860
_cell_length_c 9.076
_cell_angle_alpha 90.00
_cell_angle_beta 113.43
_cell_angle_gamma 90.00
_symmetry_space_group_name_H-M 'C 1 2/c 1'
_symmetry_Int_Tables_number 15
loop_
_symmetry_equiv_pos_as_xyz
'x,y,z'
'-x,-y,-z'
'-x,y,-z+1/2'
'x,-y,z+1/2'
'x+1/2,y+1/2,z'
'-x+1/2,-y+1/2,-z'
'-x+1/2,y+1/2,-z+1/2'
'x+1/2,-y+1/2,z+1/2'
loop_
_atom_site_label
_atom_site_type_symbol
_atom_site_fract_x
_atom_site_fract_y
_atom_site_fract_z
P1 P 0.209 0.203 0.195
Pb1 Pb 0.000 0.085 0.750
Pb2 Pb 0.151 0.455 0.440
O1 O 0.139 0.297 0.745
O2 O 0.149 0.360 0.138
O3 O 0.156 0.080 0.060
O4 O 0.173 0.156 0.339

Record 14
# P2Pb8O13 | the Alexandria database | PBE-GGA | relaxed
# DFT total energy   -6.13 eV/atom
# E_form (uncorrected)   -3470 kJ/mol of formula units
# Theoretical density   7.6 g/cm3
# Density of states at the Fermi level   0.00 states/eV/atom
data_P2Pb8O13
_cell_length_a 10.911
_cell_length_b 10.520
_cell_length_c 14.732
_cell_angle_alpha 90.00
_cell_angle_beta 98.23
_cell_angle_gamma 90.00
_symmetry_space_group_name_H-M 'C 1 2/m 1'
_symmetry_Int_Tables_number 12
loop_
_symmetry_equiv_pos_as_xyz
'x,y,z'
'-x,-y,-z'
'-x,y,-z'
'x,-y,z'
'x+1/2,y+1/2,z'
'-x+1/2,-y+1/2,-z'
'-x+1/2,y+1/2,-z'
'x+1/2,-y+1/2,z'
loop_
_atom_site_label
_atom_site_type_symbol
_atom_site_fract_x
_atom_site_fract_y
_atom_site_fract_z
P1 P 0.000 0.247 0.000
P2 P 0.162 0.500 0.598
Pb1 Pb 0.069 0.000 0.221
Pb2 Pb 0.070 0.500 0.189
Pb3 Pb 0.081 0.264 0.404
Pb4 Pb 0.173 0.000 0.617
Pb5 Pb 0.193 0.233 0.798
Pb6 Pb 0.227 0.000 0.988
O1 O 0.035 0.141 0.706
O2 O 0.069 0.160 0.937
O3 O 0.096 0.331 0.061
O4 O 0.104 0.378 0.637
O5 O 0.143 0.500 0.491
O6 O 0.183 0.359 0.302
O7 O 0.196 0.000 0.367
O8 O 0.228 0.000 0.838

Record 15
# P2PbO2 | the Alexandria database | PBE-GGA | relaxed
# DFT total energy   -4.30 eV/atom
# E_form (uncorrected)   284 kJ/mol of formula units
# Theoretical density   5.0 g/cm3
# Density of states at the Fermi level   0.71 states/eV/atom
# Excess energy over the best structure of this formula in the dataset   0.995 eV per atom
data_P2PbO2
_cell_length_a 4.013
_cell_length_b 4.013
_cell_length_c 6.254
_cell_angle_alpha 90.00
_cell_angle_beta 90.00
_cell_angle_gamma 90.00
_symmetry_space_group_name_H-M 'P 4/m m m'
_symmetry_Int_Tables_number 123
_symmetry_space_group_name_Hall '-P 4 2'
loop_
_atom_site_label
_atom_site_type_symbol
_atom_site_fract_x
_atom_site_fract_y
_atom_site_fract_z
P1 P 0.000 0.000 0.000
P2 P 0.500 0.500 0.000
Pb1 Pb 0.000 0.000 0.500
O1 O 0.000 0.500 0.500

Record 16
# PPbO2 | the Alexandria database | PBE-GGA | relaxed
# DFT total energy   -5.47 eV/atom
# E_form (uncorrected)   -274 kJ/mol of formula units
# Theoretical density   7.1 g/cm3
# Density of states at the Fermi level   0.47 states/eV/atom
# Excess energy over the best structure of this formula in the dataset   0.000 eV per atom
data_PPbO2
_cell_length_a 3.2395
_cell_length_b 3.2395
_cell_length_c 20.9254
_cell_angle_alpha 90.00
_cell_angle_beta 90.00
_cell_angle_gamma 120.00
_symmetry_space_group_name_H-M 'R -3 m'
_symmetry_Int_Tables_number 166
_symmetry_space_group_name_Hall '-R 3 2"'
loop_
_atom_site_label
_atom_site_type_symbol
_atom_site_fract_x
_atom_site_fract_y
_atom_site_fract_z
P1 P 0.0000 0.0000 0.0000
Pb1 Pb 0.0000 0.0000 0.5000
O1 O 0.0000 0.0000 0.0761